Record 1
Below is a relaxed TbPuMgGa crystal, with properties calculated at the GGA-PBE level.

Calculated values
symmetry: F-43m
ΔH_f (0 K): -0.157 eV per atom

Cell: 5.190 5.190 5.190 Å, 60.00 60.00 60.00°
Last column: magnetic moment on the atom in μB.
Element x y z (fractional)
Pu1 0.000 0.000 0.000  5.46
Tb1 0.500 0.500 0.500  0.23
Mg1 0.750 0.750 0.750  0.02
Ga1 0.250 0.250 0.250  -0.06



Record 2
Below is a relaxed K2LaBr crystal, with properties calculated at the GGA-PBE level.

Calculated values
excess energy over the best structure of this formula in the dataset: 0.0626 eV per atom
symmetry: Cmm2
E_form (uncorrected): -0.49 eV per atom

Cell: 4.026 4.026 12.624 Å, 90.00 90.00 117.80°
Last column: magnetic moment on the atom in μB.
Element x y z (fractional)
K1 0.000 0.000 0.941  0.00
K2 0.500 0.500 0.263  0.01
La1 0.000 0.000 0.554  0.23
Br1 0.500 0.500 0.742  0.01



Record 3
Below is a relaxed Nb2HgSeN crystal, with properties calculated at the GGA-PBE level.

Calculated values
symmetry: P4/mmm
E_form (uncorrected): 0.26 eV per atom

Cell: 4.213 5.148 4.213 Å, 90.00 90.00 90.00°
Element x y z (fractional)
Nb1 0.000 0.000 0.500
Nb2 0.500 0.000 0.000
Hg1 0.000 0.500 0.000
N1 0.000 0.000 0.000
Se1 0.500 0.500 0.500